Record 1
# PBE-GGA Na2NpSnO6, optimized geometry
# - Crystal system: monoclinic
# - Calculated volume: 13.2 A^3/atom
# - Raw formation energy: -2180 meV per atom
# - ρ: 6.2 g/cm3
data_Na2NpSnO6
_chemical_formula_sum 'Na4 Np2 Sn2 O12'
_space_group_name_H-M_alt 'P 1 21/c 1'
_space_group_IT_number 14
_cell_length_a 5.6667
_cell_length_b 5.7700
_cell_length_c 9.8701
_cell_angle_alpha 90.00
_cell_angle_beta 124.95
_cell_angle_gamma 90.00
loop_
_space_group_symop_operation_xyz
'x,y,z'
'-x,-y,-z'
'-x,y+1/2,-z+1/2'
'x,-y+1/2,z+1/2'
loop_
_atom_site_label
_atom_site_type_symbol
_atom_site_fract_x
_atom_site_fract_y
_atom_site_fract_z
Na1 Na 0.2424 0.0322 0.2495
Np1 Np 0.5000 0.0000 0.0000
Sn1 Sn 0.0000 0.0000 0.5000
O1 O 0.1634 0.2070 0.9564
O2 O 0.2505 0.7091 0.9552
O3 O 0.3366 0.0231 0.7509

---

Record 2
# PBE-GGA NaNpSn2O8, optimized geometry
# - Crystal system: orthorhombic
# - Calculated volume: 13.8 A^3/atom
# - Raw formation energy: -1915 meV per atom
# - ρ: 6.3 g/cm3
data_NaNpSn2O8
_chemical_formula_sum 'Na2 Np2 Sn4 O16'
_space_group_name_H-M_alt 'C m m m'
_space_group_IT_number 65
_space_group_name_Hall '-C 2 2'
_cell_length_a 7.1322
_cell_length_b 7.2497
_cell_length_c 6.3914
_cell_angle_alpha 90.00
_cell_angle_beta 90.00
_cell_angle_gamma 90.00
loop_
_atom_site_label
_atom_site_type_symbol
_atom_site_fract_x
_atom_site_fract_y
_atom_site_fract_z
Na1 Na 0.0000 0.0000 0.0000
Np1 Np 0.0000 0.0000 0.5000
Sn1 Sn 0.0000 0.5000 0.2436
O1 O 0.0000 0.3141 0.5000
O2 O 0.0000 0.3164 0.0000
O3 O 0.1931 0.0000 0.2867

---

Record 3
# PBE-GGA Na2SrNp2O7, optimized geometry
# - Crystal system: tetragonal
# - Calculated volume: 15.7 A^3/atom
# - Raw formation energy: -2680 meV per atom
# - ρ: 6.3 g/cm3
# - DOS(E_F): 0.761 states/eV per atom
data_Na2SrNp2O7
_chemical_formula_sum 'Na4 Sr2 Np4 O14'
_space_group_name_H-M_alt 'I 4/m m m'
_space_group_IT_number 139
_space_group_name_Hall '-I 4 2'
_cell_length_a 4.3255
_cell_length_b 4.3255
_cell_length_c 20.1618
_cell_angle_alpha 90.00
_cell_angle_beta 90.00
_cell_angle_gamma 90.00
loop_
_atom_site_label
_atom_site_type_symbol
_atom_site_fract_x
_atom_site_fract_y
_atom_site_fract_z
Na1 Na 0.0000 0.5000 0.2500
Sr1 Sr 0.0000 0.0000 0.0000
Np1 Np 0.0000 0.0000 0.3944
O1 O 0.0000 0.0000 0.2939
O2 O 0.0000 0.0000 0.5000
O3 O 0.0000 0.5000 0.0932

---

Record 4
# PBE-GGA NaSrNpO4, optimized geometry
# - Crystal system: tetragonal
# - Calculated volume: 16.8 A^3/atom
# - Raw formation energy: -2661 meV per atom
# - ρ: 5.8 g/cm3
# - DOS(E_F): 0.617 states/eV per atom
data_NaSrNpO4
_chemical_formula_sum 'Na2 Sr2 Np2 O8'
_space_group_name_H-M_alt 'I 4 m m'
_space_group_IT_number 107
_space_group_name_Hall 'I 4 -2'
_cell_length_a 4.3545
_cell_length_b 4.3545
_cell_length_c 12.3948
_cell_angle_alpha 90.00
_cell_angle_beta 90.00
_cell_angle_gamma 90.00
loop_
_atom_site_label
_atom_site_type_symbol
_atom_site_fract_x
_atom_site_fract_y
_atom_site_fract_z
Na1 Na 0.0000 0.0000 0.0000
Sr1 Sr 0.0000 0.0000 0.7043
Np1 Np 0.0000 0.0000 0.3503
O1 O 0.0000 0.0000 0.1848
O2 O 0.0000 0.0000 0.5130
O3 O 0.0000 0.5000 0.3392